## Cs2ZnHgAu (PBE)

Data for a geometry-optimized Cs2ZnHgAu structure.

Cell lengths 6.8837, 6.8837, 5.4337 Å; angles 90.00, 90.00, 90.00 degrees
Element x y z (fractional)
Cs  0.0000  0.5000  0.0000
Cs  0.5000  0.0000  0.0000
Zn  0.5000  0.5000  0.5000
Au  0.0000  0.0000  0.0000
Hg  0.0000  0.0000  0.5000

Energy relative to the elements in eV/atom: -0.028
Calculated density in g/cm3: 4.7
Crystal system: tetragonal
Space group: P4/mmm
Offset from the most stable computed form in eV/atom: 0.118